No. 1
First-principles (PBE-GGA) data for VSiNi3 after structural relaxation, as listed in Alexandria via LeMat-Bulk.

abc: 4.2761 4.2761 4.2761
angles: 90.00 90.00 90.00
With the nearest neighbours (Å) after each atom.
Space group Pm-3m (No. 221)
Inequivalent atoms, fractional coordinates:
1 V 0.0000 0.0000 0.0000 [1 per cell]  6 Ni 2.14
2 Si 0.5000 0.5000 0.5000 [1 per cell]  12 Ni 3.02
3 Ni 0.0000 0.0000 0.5000 [3 per cell]  2 V 2.14

Uncorrected formation energy   5.63 eV/f.u.

No. 2
First-principles (PBE-GGA) data for Nd3DyY3 after structural relaxation, as listed in Alexandria via LeMat-Bulk.

abc: 10.7048 10.7048 7.2106
angles: 90.00 90.00 120.00
With the nearest neighbours (Å) after each atom.
Space group R3m (No. 160, hexagonal axes)
Inequivalent atoms, fractional coordinates:
1 Nd 0.1864 0.3729 0.0000 [9 per cell]  1 Dy 3.05, 3 Y 3.37-3.38
2 Dy 0.0000 0.0000 0.1424 [3 per cell]  3 Nd 3.05, 3 Y 3.36
3 Y 0.2109 0.4219 0.4650 [9 per cell]  1 Dy 3.36, 5 Nd 3.37-3.60

Calculated formation energy   0.26 eV/atom

No. 3
First-principles (PBE-GGA) data for TaCrPt2 after structural relaxation, as listed in Alexandria via LeMat-Bulk.

abc: 3.8908 3.8908 4.0173
angles: 90.00 90.00 90.00
With the nearest neighbours (Å) after each atom.
Space group P4/mmm (No. 123)
Inequivalent atoms, fractional coordinates:
1 Ta 0.0000 0.0000 0.0000 [1 per cell]  4 Cr 2.75, 8 Pt 2.80
2 Cr 0.5000 0.5000 0.0000 [1 per cell]  4 Ta 2.75, 8 Pt 2.80
3 Pt 0.0000 0.5000 0.5000 [2 per cell]  4 Pt 2.75, 4 Cr 2.80, 4 Ta 2.80

Calculated formation energy   -0.49 eV/atom

Volume, respectively: 78.19; 715.58; 60.81 Å³ per cell.
Relative energy among the computed polymorphs, respectively: 0.700; 0.095; 0.000 eV/atom.